A relaxed structure of Na3Li5Mn5O9, computed with GGA+U.

## Properties
Relative energy among the computed polymorphs in eV per atom: 0.000

a b c (Å): 5.9078 5.9090 9.0017
angles (deg): 95.91 96.19 119.50
Last column: nearest neighbours and their distance in Å.
Space group P1 (No. 1)
Asymmetric unit:
Na  0.0000  0.0000  0.0000 [1 per cell]  6 O 2.40-2.69
Na  0.3157  0.6464  0.9997 [1 per cell]  6 O 2.42-2.70
Na  0.6844  0.3177  0.0011 [1 per cell]  6 O 2.49-2.75
Li  0.1689  0.4363  0.5035 [1 per cell]  3 O 1.88-1.99
Li  0.4592  0.1404  0.4778 [1 per cell]  3 O 1.93-1.97
Li  0.5876  0.8573  0.5632 [1 per cell]  3 O 1.90-2.08
Li  0.8612  0.5382  0.5596 [1 per cell]  3 O 1.93-1.98
Li  0.9322  0.2491  0.7465 [1 per cell]  4 O 2.06-2.10
Mn  0.0745  0.7313  0.2792 [1 per cell]  4 O 2.08-2.12
Mn  0.2625  0.9279  0.7453 [1 per cell]  4 O 2.06-2.11
Mn  0.4303  0.4221  0.2701 [1 per cell]  4 O 2.08-2.12
Mn  0.5787  0.5628  0.7580 [1 per cell]  4 O 2.04-2.17
Mn  0.7565  0.0676  0.2802 [1 per cell]  4 O 2.05-2.14
O  0.0577  0.3763  0.1901 [1 per cell]  3 Mn 2.11-2.14
O  0.2065  0.7907  0.5107 [1 per cell]  4 Li 1.94-2.08, 2 Mn 2.08-2.11
O  0.2812  0.2711  0.8401 [1 per cell]  2 Mn 2.04-2.06, 1 Li 2.08
O  0.3919  0.0492  0.2077 [1 per cell]  3 Mn 2.11-2.13
O  0.5128  0.4919  0.5112 [1 per cell]  4 Li 1.88-1.97
O  0.6188  0.9345  0.8094 [1 per cell]  2 Li 2.06-2.19, 2 Mn 2.09-2.10
O  0.7273  0.7140  0.1791 [1 per cell]  3 Mn 2.08-2.11
O  0.8159  0.1877  0.5101 [1 per cell]  5 Li 1.88-2.10, 1 Mn 2.05
O  0.9492  0.6025  0.8100 [1 per cell]  2 Li 2.06-2.21, 2 Mn 2.08-2.10